VASP calculation (PBE) on a relaxed structure of MnCo3Br9.

a b c (Å): 9.1848 10.1266 11.2951
angles (deg): 74.85 66.01 63.03
Closest atoms and distances in Å follow each position.
Fractional coordinates of all 26 atoms:
Br (0.3183, 0.1871, 0.3368)  1 Co 2.37
Br (0.4727, 0.2473, 0.5650)  1 Co 2.36
Br (0.3546, 0.2922, 0.9315)  1 Co 2.36
Br (0.0455, 0.5792, 0.1980)  1 Co 2.35
Br (0.4810, 0.4986, 0.2314)  2 Co 2.36-2.39
Br (0.4217, 0.7922, 0.4315)  1 Co 2.36
Br (0.5842, 0.7906, 0.6895)  1 Co 2.34
Br (0.8845, 0.4428, 0.8668)  1 Co 2.36, 1 Mn 2.61
Br (0.1578, 0.6871, 0.8368)  1 Co 2.37
Br (0.7889, 0.9986, 0.7314)  2 Co 2.36-2.39
Br (0.9357, 0.2906, 0.1895)  1 Co 2.34
Br (0.7150, 0.7473, 0.0650)  1 Co 2.36
Br (0.2559, 0.9007, 0.1079)  2 Co 2.38-2.41
Br (0.8059, 0.9428, 0.3668)  1 Co 2.36, 1 Mn 2.61
Br (0.1773, 0.0792, 0.6980)  1 Co 2.35
Br (0.0755, 0.5685, 0.5209)  2 Co 2.37-2.39
Br (0.8351, 0.0685, 0.0209)  2 Co 2.37-2.39
Br (0.7354, 0.4007, 0.6079)  2 Co 2.38-2.41
Co (0.4525, 0.7462, 0.2262)  4 Br 2.36-2.41
Co (0.9998, 0.9483, 0.8244)  4 Br 2.35-2.39
Co (0.2275, 0.4483, 0.3244)  4 Br 2.35-2.39
Co (0.5751, 0.2462, 0.7262)  4 Br 2.36-2.41
Co (0.8133, 0.5558, 0.6759)  4 Br 2.34-2.38
Co (0.9550, 0.0558, 0.1759)  4 Br 2.34-2.38
Mn (0.4801, 0.0001, 0.5035)  6 Br 2.61-2.77
Mn (0.0163, 0.5001, 0.0035)  6 Br 2.61-2.77

Values from the calculation:
Crystal system = monoclinic
Energy = -100.14 eV/cell
Symmetry = No. 9